(1)
{
  "formula": "CsBiBr2",
  "functional": "GGA-PBE",
  "state": "relaxed",
  "polymorph_energy_mev_per_atom": 0,
  "m_tot_mub_per_cell": 0.000,
  "final_energy_ev_per_atom": -3.11,
  "lattice": [[4.5679, 0.0002, -0.0003], [1.2992, 9.4848, -0.0004], [1.6666, 3.7418, 8.6759]],
  "species": ["Br", "Br", "Br", "Br", "Bi", "Bi", "Cs", "Cs"],
  "fractional_positions": [[0.5723, 0.4806, 0.5610], [0.8047, 0.4366, 0.0113], [0.0251, 0.9056, 0.8448], [0.8504, 0.9113, 0.2521], [0.8675, 0.9155, 0.5431], [0.3684, 0.6858, 0.7095], [0.3971, 0.1715, 0.9514], [0.1900, 0.5608, 0.2301]]
}

(2)
{
  "formula": "Cs4BiBr",
  "functional": "GGA-PBE",
  "state": "relaxed",
  "m_tot_mub_per_cell": 0.000,
  "final_energy_ev_per_atom": -2.29,
  "lattice": [[-6.9896, 5.1560, -0.6092], [-2.0044, -5.6503, 8.2695], [8.3450, 6.0417, 1.0618]],
  "species": ["Cs", "Cs", "Cs", "Cs", "Cs", "Cs", "Cs", "Cs", "Bi", "Bi", "Br", "Br"],
  "fractional_positions": [[0.7731, 0.7056, 0.6525], [0.2269, 0.2944, 0.3475], [0.3793, 0.9469, 0.6525], [0.0062, 0.2497, 0.8943], [0.6207, 0.0531, 0.3475], [0.9938, 0.7503, 0.1057], [0.6119, 0.3554, 0.1057], [0.3881, 0.6446, 0.8943], [0.3881, 0.6381, 0.2761], [0.6119, 0.3619, 0.7239], [0.2380, 0.9880, 0.9761], [0.7620, 0.0120, 0.0239]]
}

Q: Which formula does entry 1 have?
A: CsBiBr2